[1]
Here is a relaxed structure of CaPmPrTh from Alexandria via LeMat-Bulk. Energies are from GGA-PBE.

Unit cell a=3.6864 b=3.6864 c=10.5938 alpha=90.00 beta=90.00 gamma=90.00
With the nearest neighbours (Å) after each atom.
Space group P4mm (No. 99)
One atom of each set of equivalent atoms:
Ca 0.0000 0.0000 0.0000 x1  4 Ca 3.69, 4 Pm 3.87, 4 Pr 3.92
Pm 0.5000 0.5000 0.7295 x1  4 Th 3.53, 4 Pm 3.69, 4 Ca 3.87
Pr 0.5000 0.5000 0.2763 x1  4 Th 3.56, 4 Pr 3.69, 4 Ca 3.92
Th 0.0000 0.0000 0.5048 x1  4 Pm 3.53, 4 Pr 3.56, 4 Th 3.69

Calculated values
Total magnetization   0.0 μB/cell
Total energy   -4.703 eV per atom
Formation energy from the elements   0.03 eV/atom
Excess energy over the best structure of this formula in the dataset   0 meV per atom



[2]
Here is a relaxed structure of CaPmPr2Tl4 from Alexandria via LeMat-Bulk. Energies are from GGA-PBE.

Unit cell a=5.5124 b=5.5124 c=27.2764 alpha=90.00 beta=90.00 gamma=120.00
With the nearest neighbours (Å) after each atom.
Space group R-3m (No. 166, hexagonal axes)
One atom of each set of equivalent atoms:
Ca 0.0000 0.0000 0.0000 x3  8 Tl 3.40-3.45
Pm 0.0000 0.0000 0.5000 x3  8 Tl 3.36-3.37
Pr 0.0000 0.0000 0.2543 x6  8 Tl 3.33-3.48
Tl 0.0000 0.0000 0.1266 x6  3 Pm 3.37, 4 Pr 3.44-3.48, 1 Ca 3.45
Tl 0.0000 0.0000 0.3768 x6  4 Pr 3.33-3.34, 1 Pm 3.36, 3 Ca 3.40

Calculated values
Total magnetization   0.0 μB/cell
Total energy   -3.622 eV per atom
Formation energy from the elements   -0.40 eV/atom



[3]
Here is a relaxed structure of CaPm2PrTl4 from Alexandria via LeMat-Bulk. Energies are from GGA-PBE.

Unit cell a=5.4906 b=5.4906 c=27.1993 alpha=90.00 beta=90.00 gamma=120.00
With the nearest neighbours (Å) after each atom.
Space group R-3m (No. 166, hexagonal axes)
One atom of each set of equivalent atoms:
Ca 0.0000 0.0000 0.0000 x3  8 Tl 3.37-3.41
Pm 0.0000 0.0000 0.2537 x6  8 Tl 3.31-3.49
Pr 0.0000 0.0000 0.5000 x3  8 Tl 3.36-3.39
Tl 0.0000 0.0000 0.1254 x6  3 Pr 3.36, 4 Pm 3.41-3.49, 1 Ca 3.41
Tl 0.0000 0.0000 0.3754 x6  4 Pm 3.31-3.33, 3 Ca 3.37, 1 Pr 3.39

Calculated values
Total magnetization   0.0 μB/cell
Total energy   -3.613 eV per atom
Formation energy from the elements   -0.39 eV/atom



[4]
Here is a relaxed structure of CaPmPrTl from Alexandria via LeMat-Bulk. Energies are from GGA-PBE.

Unit cell a=7.9852 b=7.9852 c=7.9852 alpha=90.00 beta=90.00 gamma=90.00
With the nearest neighbours (Å) after each atom.
Space group F-43m (No. 216)
One atom of each set of equivalent atoms:
Ca 0.0000 0.0000 0.0000 x4  4 Pr 3.46, 4 Pm 3.46
Pm 0.2500 0.2500 0.7500 x4  4 Tl 3.46, 4 Ca 3.46
Pr 0.2500 0.2500 0.2500 x4  4 Tl 3.46, 4 Ca 3.46
Tl 0.0000 0.0000 0.5000 x4  4 Pr 3.46, 4 Pm 3.46

Calculated values
Total magnetization   0.0 μB/cell
Total energy   -3.592 eV per atom
Formation energy from the elements   -0.12 eV/atom



[5]
Here is a relaxed structure of CaPmPrTm from Alexandria via LeMat-Bulk. Energies are from GGA-PBE.

Unit cell a=8.2407 b=8.2407 c=8.2407 alpha=90.00 beta=90.00 gamma=90.00
With the nearest neighbours (Å) after each atom.
Space group F-43m (No. 216)
One atom of each set of equivalent atoms:
Ca 0.0000 0.0000 0.0000 x4  4 Pr 3.57, 4 Pm 3.57
Pm 0.2500 0.2500 0.2500 x4  4 Ca 3.57, 4 Tm 3.57
Pr 0.2500 0.2500 0.7500 x4  4 Ca 3.57, 4 Tm 3.57
Tm 0.0000 0.0000 0.5000 x4  4 Pr 3.57, 4 Pm 3.57

Calculated values
Total magnetization   0.0 μB/cell
Total energy   -3.888 eV per atom
Formation energy from the elements   0.11 eV/atom
Excess energy over the best structure of this formula in the dataset   67 meV per atom



[6]
Here is a relaxed structure of CaPmPrTm from Alexandria via LeMat-Bulk. Energies are from GGA-PBE.

Unit cell a=3.6605 b=3.6605 c=10.4792 alpha=90.00 beta=90.00 gamma=90.00
With the nearest neighbours (Å) after each atom.
Space group P4mm (No. 99)
One atom of each set of equivalent atoms:
Ca 0.0000 0.0000 0.0000 x1  4 Ca 3.66, 4 Pm 3.80, 4 Pr 3.83
Pm 0.5000 0.5000 0.7349 x1  4 Tm 3.54, 4 Pm 3.66, 4 Ca 3.80
Pr 0.5000 0.5000 0.2692 x1  4 Tm 3.58, 4 Pr 3.66, 4 Ca 3.83
Tm 0.0000 0.0000 0.5048 x1  4 Pm 3.54, 4 Pr 3.58, 4 Tm 3.66

Calculated values
Total magnetization   0.0 μB/cell
Total energy   -3.954 eV per atom
Formation energy from the elements   0.05 eV/atom
Excess energy over the best structure of this formula in the dataset   0 meV per atom